(1)
This record from Alexandria via LeMat-Bulk describes a relaxed structure of Na2In8Ir. The functional is PBE.

Calculated values
space-group type = P4/mmm, No. 123
calculated formation energy = -0.11 eV per atom
M_tot = 0.0 μB per cell

a = 4.6649 Å, b = 4.6649 Å, c = 12.4235 Å
α = 90.00°, β = 90.00°, γ = 90.00°
Fractional positions:
1 Na 0.0000 0.0000 0.1917
2 Na 0.0000 0.0000 0.8083
3 In 0.0000 0.5000 0.0000
4 In 0.0000 0.5000 0.3766
5 In 0.0000 0.5000 0.6234
6 In 0.5000 0.0000 0.0000
7 In 0.5000 0.0000 0.3766
8 In 0.5000 0.0000 0.6234
9 In 0.5000 0.5000 0.1916
10 In 0.5000 0.5000 0.8084
11 Ir 0.0000 0.0000 0.5000

(2)
This record from Alexandria via LeMat-Bulk describes a relaxed structure of NaIn2Ir2. The functional is PBE.

Calculated values
space-group type = I4/mmm, No. 139
calculated formation energy = 0.06 eV per atom
M_tot = 0.0 μB per cell

a = 6.2131 Å, b = 6.2131 Å, c = 6.2131 Å
α = 136.59°, β = 136.59°, γ = 63.08°
Fractional positions:
1 Na 0.0000 0.0000 0.0000
2 In 0.2500 0.7500 0.5000
3 In 0.7500 0.2500 0.5000
4 Ir 0.3859 0.3859 0.0000
5 Ir 0.6141 0.6141 0.0000

(3)
This record from Alexandria via LeMat-Bulk describes a relaxed structure of NaIn2Ir2. The functional is PBE.

Calculated values
space-group type = P4/mbm, No. 127
calculated formation energy = -0.08 eV per atom
M_tot = 0.0 μB per cell

a = 7.9014 Å, b = 7.9014 Å, c = 3.0531 Å
α = 90.00°, β = 90.00°, γ = 90.00°
Fractional positions:
1 Na 0.0000 0.0000 0.0000
2 Na 0.5000 0.5000 0.0000
3 In 0.1616 0.3384 0.5000
4 In 0.3384 0.8384 0.5000
5 In 0.6616 0.1616 0.5000
6 In 0.8384 0.6616 0.5000
7 Ir 0.1347 0.6347 0.0000
8 Ir 0.3653 0.1347 0.0000
9 Ir 0.6347 0.8653 0.0000
10 Ir 0.8653 0.3653 0.0000

(4)
This record from Alexandria via LeMat-Bulk describes a relaxed structure of NaNdInIr. The functional is PBE.

Calculated values
space-group type = F-43m, No. 216
calculated formation energy = -0.23 eV per atom
M_tot = 0.0 μB per cell

a = 4.9694 Å, b = 4.9694 Å, c = 4.9694 Å
α = 60.00°, β = 60.00°, γ = 60.00°
Fractional positions:
1 Na 0.0000 0.0000 0.0000
2 Nd 0.7500 0.7500 0.7500
3 In 0.2500 0.2500 0.2500
4 Ir 0.5000 0.5000 0.5000

(5)
This record from Alexandria via LeMat-Bulk describes a relaxed structure of Na2In6NiIr. The functional is PBE.

Calculated values
space-group type = Pmmn, No. 59
calculated formation energy = -0.10 eV per atom
M_tot = 0.0 μB per cell

a = 7.5907 Å, b = 10.0288 Å, c = 6.8961 Å
α = 90.00°, β = 90.00°, γ = 90.00°
Fractional positions:
1 Na 0.2500 0.0270 0.2195
2 Na 0.2500 0.4730 0.2195
3 Na 0.7500 0.5270 0.7805
4 Na 0.7500 0.9730 0.7805
5 In 0.0162 0.7500 0.4314
6 In 0.0309 0.7500 0.9545
7 In 0.2500 0.5029 0.7228
8 In 0.2500 0.9971 0.7228
9 In 0.4691 0.7500 0.9545
10 In 0.4838 0.7500 0.4314
11 In 0.5162 0.2500 0.5686
12 In 0.5309 0.2500 0.0455
13 In 0.7500 0.0029 0.2772
14 In 0.7500 0.4971 0.2772
15 In 0.9691 0.2500 0.0455
16 In 0.9838 0.2500 0.5686
17 Ni 0.2500 0.7500 0.6827
18 Ni 0.7500 0.2500 0.3173
19 Ir 0.2500 0.2500 0.8245
20 Ir 0.7500 0.7500 0.1755

(6)
This record from Alexandria via LeMat-Bulk describes a relaxed structure of NaInIrO6. The functional is PBE.

Calculated values
space-group type = P-31c, No. 163
E_form (uncorrected) = -0.8508 eV per atom
M_tot = 0.0 μB per cell

a = 5.4990 Å, b = 5.4990 Å, c = 9.7675 Å
α = 90.00°, β = 90.00°, γ = 120.00°
Fractional positions:
1 Na 0.0000 0.0000 0.0000
2 Na 0.0000 0.0000 0.5000
3 In 0.3333 0.6667 0.2500
4 In 0.6667 0.3333 0.7500
5 Ir 0.3333 0.6667 0.7500
6 Ir 0.6667 0.3333 0.2500
7 O 0.0388 0.3947 0.6394
8 O 0.0388 0.6441 0.8606
9 O 0.3559 0.3947 0.8606
10 O 0.3559 0.9612 0.6394
11 O 0.3947 0.0388 0.1394
12 O 0.3947 0.3559 0.3606
13 O 0.6053 0.6441 0.6394
14 O 0.6053 0.9612 0.8606
15 O 0.6441 0.0388 0.3606
16 O 0.6441 0.6053 0.1394
17 O 0.9612 0.3559 0.1394
18 O 0.9612 0.6053 0.3606

(7)
This record from Alexandria via LeMat-Bulk describes a relaxed structure of NaInIrPb. The functional is PBE.

Calculated values
space-group type = F-43m, No. 216
calculated formation energy = 0.03 eV per atom
M_tot = 0.0 μB per cell

a = 4.8575 Å, b = 4.8575 Å, c = 4.8575 Å
α = 60.00°, β = 60.00°, γ = 60.00°
Fractional positions:
1 Na 0.0000 0.0000 0.0000
2 In 0.2500 0.2500 0.2500
3 Ir 0.5000 0.5000 0.5000
4 Pb 0.7500 0.7500 0.7500

(8)
This record from Alexandria via LeMat-Bulk describes a relaxed structure of NaIn4IrPd2. The functional is PBE.

Calculated values
space-group type = R-3m, No. 166
calculated formation energy = -0.25 eV per atom
M_tot = 0.0 μB per cell

a = 8.1282 Å, b = 8.1282 Å, c = 8.1282 Å
α = 34.23°, β = 34.23°, γ = 34.23°
Fractional positions:
1 Na 0.0000 0.0000 0.0000
2 In 0.1334 0.1334 0.1334
3 In 0.3802 0.3802 0.3802
4 In 0.6198 0.6198 0.6198
5 In 0.8666 0.8666 0.8666
6 Ir 0.5000 0.5000 0.5000
7 Pd 0.2572 0.2572 0.2572
8 Pd 0.7428 0.7428 0.7428

What did the fourth record say?
This record from Alexandria via LeMat-Bulk describes a relaxed structure of NaNdInIr. The functional is PBE.

Calculated values
space-group type = F-43m, No. 216
calculated formation energy = -0.23 eV per atom
M_tot = 0.0 μB per cell

a = 4.9694 Å, b = 4.9694 Å, c = 4.9694 Å
α = 60.00°, β = 60.00°, γ = 60.00°
Fractional positions:
1 Na 0.0000 0.0000 0.0000
2 Nd 0.7500 0.7500 0.7500
3 In 0.2500 0.2500 0.2500
4 Ir 0.5000 0.5000 0.5000